Computed, not measured: a relaxed Mn2BeGe4 crystal at the PBE level of DFT.

Unit cell a=6.756 b=6.756 c=6.756 alpha=140.08 beta=140.08 gamma=57.74
Atoms (fractional coordinates):
Mn 0.108 0.108 0.000
Mn 0.892 0.892 0.000
Be 0.500 0.500 0.000
Ge 0.000 0.500 0.500
Ge 0.314 0.314 0.000
Ge 0.500 0.000 0.500
Ge 0.686 0.686 0.000

Summary:
ρ	5.4	g/cm³

=====

Computed, not measured: a relaxed MnBeGe crystal at the PBE level of DFT.

Unit cell a=4.756 b=4.756 c=4.756 alpha=118.67 beta=102.07 gamma=108.13
Atoms (fractional coordinates):
Mn 0.500 0.000 0.000
Mn 0.500 0.500 0.500
Be 0.000 0.000 0.000
Be 0.500 0.000 0.500
Ge 0.000 0.500 0.500
Ge 0.500 0.500 0.000

Summary:
ρ	5.6	g/cm³

=====

Computed, not measured: a relaxed MnBeGe crystal at the PBE level of DFT.

Unit cell a=4.409 b=4.409 c=4.409 alpha=140.95 beta=140.95 gamma=56.42
Atoms (fractional coordinates):
Mn 0.000 0.000 0.000
Be 0.642 0.642 0.000
Ge 0.323 0.323 0.000

Summary:
ρ	6.7	g/cm³

=====

Number 1: ΔH_f (0 K) 484 meV per atom. Number 2: ΔH_f (0 K) 44 meV per atom. Number 3: ΔH_f (0 K) 12 meV per atom.